No. 1
Computed, not measured: a geometry-optimized Mg5In2PdRh2 structure at the PBE level of DFT.

Output
VASP energy	-74.34	eV per cell
energy of formation	-382	meV per atom

a b c (Å): 4.068 9.592 9.592
angles (deg): 90.00 90.00 90.00
Element x y z (fractional)
Mg 0.500 0.200 0.076
Mg 0.500 0.800 0.924
Mg 0.500 0.076 0.800
Mg 0.500 0.700 0.424
Mg 0.500 0.924 0.200
Mg 0.500 0.300 0.576
Mg 0.500 0.576 0.700
Mg 0.500 0.424 0.300
Mg 0.500 0.500 0.000
Mg 0.500 0.000 0.500
In 0.000 0.672 0.172
In 0.000 0.328 0.828
In 0.000 0.172 0.328
In 0.000 0.828 0.672
Pd 0.000 0.000 0.000
Pd 0.000 0.500 0.500
Rh 0.000 0.122 0.622
Rh 0.000 0.878 0.378
Rh 0.000 0.622 0.878
Rh 0.000 0.378 0.122

No. 2
Computed, not measured: a geometry-optimized InCo2Rh structure at the PBE level of DFT.

Output
VASP energy	-23.94	eV per cell
energy of formation	90	meV per atom

a b c (Å): 4.318 4.318 4.318
angles (deg): 60.00 60.00 60.00
Each line ends with the local moment (μB).
Element x y z (fractional)
Co 0.000 0.000 0.000  1.82
Co 0.250 0.250 0.250  1.45
In 0.500 0.500 0.500  -0.05
Rh 0.750 0.750 0.750  0.39

No. 3
Computed, not measured: a geometry-optimized Na2In2Ge structure at the PBE level of DFT.

Output
distance to the lowest polymorph of the same formula	77.4	meV per atom
VASP energy	-25.65	eV per cell
energy of formation	-19	meV per atom

a b c (Å): 7.344 7.344 5.145
angles (deg): 90.00 90.00 90.00
Element x y z (fractional)
Na 0.171 0.671 0.500
Na 0.671 0.829 0.500
Na 0.829 0.329 0.500
Na 0.329 0.171 0.500
Ge 0.000 0.000 0.000
Ge 0.500 0.500 0.000
In 0.358 0.858 0.000
In 0.858 0.642 0.000
In 0.642 0.142 0.000
In 0.142 0.358 0.000

> Which of these has the lowest energy of formation?

Mg5In2PdRh2

> The highest VASP energy belongs to which entry?

InCo2Rh